Record 1
Density functional theory data (PBE-GGA) for a relaxed structure of KCo2Re.

## Properties
Its total magnetization is 0.8 μB/f.u. Its offset from the most stable computed form is 0.7353 eV/atom. The value obtained for the calculated volume is 20.28 Å³/atom. The total energy comes out at -88.87 eV per cell. The space group is I-42d, No. 122. The calculation puts the density of states at the Fermi level at 15.3 states/eV/cell. The calculation puts the energy of formation from the pure elements at 133.6 kJ per mole of atoms.

a b c (Å): 7.0811 7.0811 6.4717
angles (deg): 90.00 90.00 90.00
With the nearest neighbours (Å) after each atom.
Sites, in units of the cell vectors:
K (0.0000, 0.0000, 0.0000)  8 Co 3.06-3.23, 2 Re 3.24
K (0.0000, 0.5000, 0.2500)  8 Co 3.06-3.23, 2 Re 3.24
K (0.5000, 0.0000, 0.7500)  8 Co 3.06-3.23, 2 Re 3.24
K (0.5000, 0.5000, 0.5000)  8 Co 3.06-3.23, 2 Re 3.24
Co (0.1664, 0.2500, 0.6250)  2 Re 2.28
Co (0.2500, 0.6664, 0.8750)  2 Re 2.28
Co (0.2500, 0.8336, 0.3750)  2 Re 2.28
Co (0.3336, 0.2500, 0.1250)  2 Re 2.28
Co (0.6664, 0.7500, 0.1250)  2 Re 2.28
Co (0.7500, 0.1664, 0.3750)  2 Re 2.28
Co (0.7500, 0.3336, 0.8750)  2 Re 2.28
Co (0.8336, 0.7500, 0.6250)  2 Re 2.28
Re (0.0000, 0.0000, 0.5000)  4 Co 2.28
Re (0.0000, 0.5000, 0.7500)  4 Co 2.28
Re (0.5000, 0.0000, 0.2500)  4 Co 2.28
Re (0.5000, 0.5000, 0.0000)  4 Co 2.28

***

Record 2
Density functional theory data (PBE-GGA) for a relaxed structure of KCoRe2.

## Properties
Its total magnetization is 1.3 μB/f.u. Its offset from the most stable computed form is 1.1744 eV/atom. The value obtained for the calculated volume is 16.51 Å³/atom. The total energy comes out at -25.16 eV per cell. The space group is P4/mmm, No. 123. The calculation puts the density of states at the Fermi level at 6.1 states/eV/cell. The calculation puts the energy of formation from the pure elements at 191.6 kJ per mole of atoms.

a b c (Å): 5.0358 5.0358 2.6046
angles (deg): 90.00 90.00 90.00
With the nearest neighbours (Å) after each atom.
Sites, in units of the cell vectors:
K (0.0000, 0.0000, 0.0000)  2 K 2.60, 8 Re 2.83
Co (0.5000, 0.5000, 0.0000)  2 Co 2.60, 8 Re 2.83
Re (0.0000, 0.5000, 0.5000)  2 Re 2.60, 4 K 2.83, 4 Co 2.83
Re (0.5000, 0.0000, 0.5000)  2 Re 2.60, 4 K 2.83, 4 Co 2.83

***

Record 3
Density functional theory data (PBE-GGA) for a relaxed structure of KCo2Re.

## Properties
Its total magnetization is 2.0 μB/f.u. Its offset from the most stable computed form is 0.6588 eV/atom. The value obtained for the calculated volume is 19.61 Å³/atom. The total energy comes out at -45.05 eV per cell. The space group is Immm, No. 71. The calculation puts the density of states at the Fermi level at 7.5 states/eV/cell. The calculation puts the energy of formation from the pure elements at 126.2 kJ per mole of atoms.

a b c (Å): 2.8328 5.7611 9.6131
angles (deg): 90.00 90.00 90.00
With the nearest neighbours (Å) after each atom.
Sites, in units of the cell vectors:
K (0.0000, 0.0000, 0.0000)  2 K 2.83
K (0.5000, 0.5000, 0.5000)  2 K 2.83
Co (0.0000, 0.5000, 0.1915)  2 Re 2.32
Co (0.0000, 0.5000, 0.8085)  2 Re 2.32
Co (0.5000, 0.0000, 0.3085)  2 Re 2.32
Co (0.5000, 0.0000, 0.6915)  2 Re 2.32
Re (0.0000, 0.0000, 0.5000)  4 Co 2.32
Re (0.5000, 0.5000, 0.0000)  4 Co 2.32

***

Record 4
Density functional theory data (PBE-GGA) for a relaxed structure of KCo2Re.

## Properties
Its total magnetization is 4.1 μB/f.u. Its offset from the most stable computed form is 0.9443 eV/atom. The value obtained for the calculated volume is 16.51 Å³/atom. The total energy comes out at -21.38 eV per cell. The space group is Pmmm, No. 47. The calculation puts the density of states at the Fermi level at 5.2 states/eV/cell. The calculation puts the energy of formation from the pure elements at 153.8 kJ per mole of atoms.

a b c (Å): 2.5868 4.7857 5.3349
angles (deg): 90.00 90.00 90.00
With the nearest neighbours (Å) after each atom.
Sites, in units of the cell vectors:
K (0.0000, 0.0000, 0.0000)  2 K 2.59, 4 Co 2.72
Co (0.0000, 0.5000, 0.5000)  2 Co 2.59, 4 Re 2.72
Co (0.5000, 0.5000, 0.0000)  2 Co 2.59, 4 K 2.72
Re (0.5000, 0.0000, 0.5000)  2 Re 2.59, 4 Co 2.72

***

Record 5
Density functional theory data (PBE-GGA) for a relaxed structure of K2CoRe.

## Properties
Its total magnetization is 1.4 μB/f.u. Its offset from the most stable computed form is 0.5304 eV/atom. The value obtained for the calculated volume is 20.11 Å³/atom. The total energy comes out at -48.52 eV per cell. The space group is R-3m, No. 166. The calculation puts the density of states at the Fermi level at 12.2 states/eV/cell. The calculation puts the energy of formation from the pure elements at 134.5 kJ per mole of atoms.

a b c (Å): 2.8384 2.8384 34.5866
angles (deg): 90.00 90.00 120.00
With the nearest neighbours (Å) after each atom.
Sites, in units of the cell vectors:
K (0.0000, 0.0000, 0.2485)  6 K 2.84
K (0.0000, 0.0000, 0.7515)  6 K 2.84
K (0.3333, 0.6667, 0.4181)  6 K 2.84
K (0.3333, 0.6667, 0.9152)  6 K 2.84
K (0.6667, 0.3333, 0.0848)  6 K 2.84
K (0.6667, 0.3333, 0.5819)  6 K 2.84
Co (0.0000, 0.0000, 0.5000)  6 Co 2.84
Co (0.3333, 0.6667, 0.1667)  6 Co 2.84
Co (0.6667, 0.3333, 0.8333)  6 Co 2.84
Re (0.0000, 0.0000, 0.0000)  6 Re 2.84
Re (0.3333, 0.6667, 0.6667)  6 Re 2.84
Re (0.6667, 0.3333, 0.3333)  6 Re 2.84

***

Record 6
Density functional theory data (PBE-GGA) for a relaxed structure of KCoRe.

## Properties
Its total magnetization is 0.1 μB/f.u. Its offset from the most stable computed form is 0.1437 eV/atom. The value obtained for the calculated volume is 27.07 Å³/atom. The total energy comes out at -74.20 eV per cell. The space group is Cm, No. 8. The calculation puts the density of states at the Fermi level at 11.7 states/eV/cell. The calculation puts the energy of formation from the pure elements at 67.6 kJ per mole of atoms.

a b c (Å): 7.2663 3.8308 11.7133
angles (deg): 90.00 94.86 90.00
With the nearest neighbours (Å) after each atom.
Sites, in units of the cell vectors:
K (0.0000, 0.0000, 0.0000)  3 Co 3.27-3.30
K (0.1736, 0.5000, 0.6274)  3 Co 3.51-3.78, 3 Re 3.55-3.60, 2 K 3.83
K (0.5000, 0.5000, 0.0000)  3 Co 3.27-3.30
K (0.6736, 0.0000, 0.6274)  3 Co 3.51-3.78, 3 Re 3.55-3.60, 2 K 3.83
Co (0.3508, 0.0000, 0.1984)  4 Re 2.34-2.50
Co (0.4981, 0.5000, 0.3913)  3 Re 2.30-2.33
Co (0.8508, 0.5000, 0.1984)  4 Re 2.34-2.50
Co (0.9981, 0.0000, 0.3913)  3 Re 2.30-2.33
Re (0.1692, 0.5000, 0.2683)  3 Co 2.39-2.50, 2 Re 2.60
Re (0.3153, 0.0000, 0.3954)  4 Co 2.30-2.34
Re (0.6692, 0.0000, 0.2683)  3 Co 2.39-2.50, 2 Re 2.60
Re (0.8153, 0.5000, 0.3954)  4 Co 2.30-2.34

***

Record 7
Density functional theory data (PBE-GGA) for a relaxed structure of K2CoRe.

## Properties
Its total magnetization is 0.0 μB/f.u. Its offset from the most stable computed form is 0.0000 eV/atom. The value obtained for the calculated volume is 26.62 Å³/atom. The total energy comes out at -18.29 eV per cell. The space group is P4mm, No. 99. The calculation puts the density of states at the Fermi level at 4.0 states/eV/cell. The calculation puts the energy of formation from the pure elements at 83.3 kJ per mole of atoms.

a b c (Å): 3.1828 3.1828 10.5122
angles (deg): 90.00 90.00 90.00
With the nearest neighbours (Å) after each atom.
Sites, in units of the cell vectors:
K (0.0000, 0.0000, 0.0000)  4 K 3.18, 4 Co 3.41, 1 Re 3.44
K (0.5000, 0.5000, 0.4141)  4 K 3.18, 4 Re 3.53
Co (0.5000, 0.5000, 0.7558)  4 Re 2.41
Re (0.0000, 0.0000, 0.6727)  4 Co 2.41

***

Record 8
Density functional theory data (PBE-GGA) for a relaxed structure of KCoRe2.

## Properties
Its total magnetization is 0.0 μB/f.u. Its offset from the most stable computed form is 0.9061 eV/atom. The value obtained for the calculated volume is 24.58 Å³/atom. The total energy comes out at -104.92 eV per cell. The space group is I4_1/amd, No. 141. The calculation puts the density of states at the Fermi level at 25.9 states/eV/cell. The calculation puts the energy of formation from the pure elements at 165.7 kJ per mole of atoms.

a b c (Å): 4.8924 4.8924 16.4286
angles (deg): 90.00 90.00 90.00
With the nearest neighbours (Å) after each atom.
Sites, in units of the cell vectors:
K (0.0000, 0.2500, 0.3750)  8 Re 3.42, 4 Co 3.46
K (0.0000, 0.7500, 0.6250)  8 Re 3.42, 4 Co 3.46
K (0.5000, 0.2500, 0.1250)  8 Re 3.42, 4 Co 3.46
K (0.5000, 0.7500, 0.8750)  8 Re 3.42, 4 Co 3.46
Co (0.0000, 0.2500, 0.8750)  4 Re 2.39
Co (0.0000, 0.7500, 0.1250)  4 Re 2.39
Co (0.5000, 0.2500, 0.6250)  4 Re 2.39
Co (0.5000, 0.7500, 0.3750)  4 Re 2.39
Re (0.0000, 0.0000, 0.0000)  2 Co 2.39, 2 Re 2.45
Re (0.0000, 0.5000, 0.0000)  2 Co 2.39, 2 Re 2.45
Re (0.2500, 0.2500, 0.7500)  2 Co 2.39, 2 Re 2.45
Re (0.2500, 0.7500, 0.2500)  2 Co 2.39, 2 Re 2.45
Re (0.5000, 0.0000, 0.5000)  2 Co 2.39, 2 Re 2.45
Re (0.5000, 0.5000, 0.5000)  2 Co 2.39, 2 Re 2.45
Re (0.7500, 0.2500, 0.7500)  2 Co 2.39, 2 Re 2.45
Re (0.7500, 0.7500, 0.2500)  2 Co 2.39, 2 Re 2.45

***

Record 9
Density functional theory data (PBE-GGA) for a relaxed structure of KCoRe.

## Properties
Its total magnetization is 0.0 μB/f.u. Its offset from the most stable computed form is 0.1255 eV/atom. The value obtained for the calculated volume is 25.72 Å³/atom. The total energy comes out at -37.21 eV per cell. The space group is P2_1/m, No. 11. The calculation puts the density of states at the Fermi level at 5.5 states/eV/cell. The calculation puts the energy of formation from the pure elements at 65.8 kJ per mole of atoms.

a b c (Å): 4.9791 3.7540 8.3473
angles (deg): 90.00 98.45 90.00
With the nearest neighbours (Å) after each atom.
Sites, in units of the cell vectors:
K (0.2121, 0.2500, 0.3388)  3 Co 3.13-3.33
K (0.7879, 0.7500, 0.6612)  3 Co 3.13-3.33
Co (0.1263, 0.7500, 0.0356)  2 Co 2.29, 4 Re 2.46-2.51
Co (0.8737, 0.2500, 0.9644)  2 Co 2.29, 4 Re 2.46-2.51
Re (0.3650, 0.2500, 0.9296)  4 Co 2.46-2.51, 2 Re 2.50
Re (0.6350, 0.7500, 0.0704)  4 Co 2.46-2.51, 2 Re 2.50

***

Record 10
Density functional theory data (PBE-GGA) for a relaxed structure of KCoRe.

## Properties
Its total magnetization is 1.4 μB/f.u. Its offset from the most stable computed form is 0.4660 eV/atom. The value obtained for the calculated volume is 17.74 Å³/atom. The total energy comes out at -17.58 eV per cell. The space group is P3m1, No. 156. The calculation puts the density of states at the Fermi level at 3.2 states/eV/cell. The calculation puts the energy of formation from the pure elements at 98.7 kJ per mole of atoms.

a b c (Å): 2.7950 2.7950 7.8647
angles (deg): 90.00 90.00 120.00
With the nearest neighbours (Å) after each atom.
Sites, in units of the cell vectors:
K (0.0000, 0.0000, 0.0000)  6 K 2.79
Co (0.3333, 0.6667, 0.6330)  3 Re 2.51, 6 Co 2.79
Re (0.6667, 0.3333, 0.3890)  3 Co 2.51, 6 Re 2.79

***

Record 11
Density functional theory data (PBE-GGA) for a relaxed structure of K2CoRe.

## Properties
Its total magnetization is 0.0 μB/f.u. Its offset from the most stable computed form is 0.0201 eV/atom. The value obtained for the calculated volume is 28.51 Å³/atom. The total energy comes out at -36.43 eV per cell. The space group is C2/m, No. 12. The calculation puts the density of states at the Fermi level at 9.1 states/eV/cell. The calculation puts the energy of formation from the pure elements at 85.3 kJ per mole of atoms.

a b c (Å): 20.5313 2.8638 3.9410
angles (deg): 90.00 100.14 90.00
With the nearest neighbours (Å) after each atom.
Sites, in units of the cell vectors:
K (0.1408, 0.0000, 0.1287)  2 K 2.86, 2 Co 3.19
K (0.3592, 0.5000, 0.8713)  2 K 2.86, 2 Co 3.19
K (0.6408, 0.5000, 0.1287)  2 K 2.86, 2 Co 3.19
K (0.8592, 0.0000, 0.8713)  2 K 2.86, 2 Co 3.19
Co (0.0000, 0.5000, 0.0000)  4 Re 2.44
Co (0.5000, 0.0000, 0.0000)  4 Re 2.44
Re (0.0000, 0.0000, 0.5000)  4 Co 2.44
Re (0.5000, 0.5000, 0.5000)  4 Co 2.44

***

Record 12
Density functional theory data (PBE-GGA) for a relaxed structure of KCo2Re.

## Properties
Its total magnetization is 2.4 μB/f.u. Its offset from the most stable computed form is 0.2240 eV/atom. The value obtained for the calculated volume is 19.48 Å³/atom. The total energy comes out at -48.53 eV per cell. The space group is Cm, No. 8. The calculation puts the density of states at the Fermi level at 10.4 states/eV/cell. The calculation puts the energy of formation from the pure elements at 84.3 kJ per mole of atoms.

a b c (Å): 8.4973 2.6586 6.9326
angles (deg): 90.00 95.74 90.00
With the nearest neighbours (Å) after each atom.
Sites, in units of the cell vectors:
K (0.0000, 0.0000, 0.0000)  2 K 2.66
K (0.5000, 0.5000, 0.0000)  2 K 2.66
Co (0.0156, 0.5000, 0.4976)  4 Co 2.40-2.66, 3 Re 2.45-2.46
Co (0.2228, 0.0000, 0.6629)  4 Co 2.40-2.66, 2 Re 2.42
Co (0.5156, 0.0000, 0.4976)  4 Co 2.40-2.66, 3 Re 2.45-2.46
Co (0.7228, 0.5000, 0.6629)  4 Co 2.40-2.66, 2 Re 2.42
Re (0.2808, 0.5000, 0.3868)  5 Co 2.42-2.46, 2 Re 2.66
Re (0.7808, 0.0000, 0.3868)  5 Co 2.42-2.46, 2 Re 2.66

***

> The lowest density of states at the Fermi level belongs to which entry?

number 10

***

> Which value of energy of formation from the pure elements does entry 8 give?

165.7 kJ per mole of atoms

***

> Which value of calculated volume does entry 12 give?

19.48 Å³/atom